Material: Li2V2F
Method: DFT, PBE with a Hubbard U
State: optimized geometry

a b c (Å): 3.2216 3.2216 8.3137
angles (deg): 78.83 78.83 90.00
Each line ends with the local moment (μB).
Atoms (fractional coordinates):
V (0.7500, 0.2500, 0.5000)  0.42
V (0.2500, 0.7500, 0.5000)  0.42
Li (0.4186, 0.4186, 0.1628)  0.00
Li (0.5814, 0.5814, 0.8372)  0.00
F (0.0000, 0.0000, 0.0000)  0.00

Computed properties:
Distance to the lowest polymorph of the same formula = 0.0134 eV/atom
Volume = 83 Å³/f.u.